DFT (GGA-PBE) results for a geometry-optimized BaCd2TeF structure.

Unit cell a=6.770 b=4.782 c=6.770 alpha=90.00 beta=90.00 gamma=90.00
Site moments in Bohr magnetons follow the coordinates.
Positions (direct):
F  0.000  0.500  0.000  0.00
Te  0.500  0.500  0.500  0.42
Ba  0.000  0.000  0.000  0.01
Cd  0.000  0.000  0.500  0.02
Cd  0.500  0.000  0.000  0.02

Summary:
raw formation energy = -708 meV per atom
energy = -12.31 eV/cell
theoretical density = 3.854 g cm⁻³
V = 219.17 Å³/f.u.